Material: Mn2FeO6
Method: DFT, PBE with a Hubbard U
State: optimized geometry

Output
Its energy above the most stable polymorph in this dataset is 20 meV/atom.

Unit cell a=6.688 b=6.688 c=5.998 alpha=75.00 beta=75.00 gamma=25.17
Last column: magnetic moment on the atom in μB.
Sites, in units of the cell vectors:
Mn (0.833, 0.833, 0.332)  3.28
Mn (0.167, 0.167, 0.668)  3.28
Fe (0.500, 0.500, 0.000)  2.61
O (0.346, 0.346, 0.115)  -0.18
O (0.679, 0.679, 0.448)  -0.15
O (0.654, 0.654, 0.885)  -0.18
O (0.013, 0.013, 0.781)  -0.23
O (0.987, 0.987, 0.219)  -0.23
O (0.321, 0.321, 0.552)  -0.15